Material: TlVAs2O8
Method: DFT, PBE+U
State: optimized geometry

extended XYZ file:
```
12
Lattice="-0.6405 4.7549 1.4089 -4.4834 1.5597 1.5717 0.4855 -0.1028 9.4414" Properties=species:S:1:pos:R:3 pbc="T T T"
O -3.4292 5.6939 3.5523
O -1.2092 0.5178 8.8697
O -4.5453 2.7213 3.0652
O -0.0932 3.4904 9.3567
O -1.4682 3.4035 2.4445
O -3.1703 2.8083 9.9774
O -0.8787 1.2702 4.1874
O -3.7597 4.9415 8.2346
As -1.2855 1.6797 2.6205
As -3.3529 4.5321 9.8014
V 0.0000 0.0000 0.0000
Tl -2.3192 3.1059 6.2110
```

Summary:
- E: -6.1809 eV/atom
- Total moment: 0.00 μB per formula unit
- Crystal system: trigonal
- Calculated volume: 194.9 Å³/f.u.